The following is a DFT calculation (meta-GGA SCAN) of a crystal of Ba2HfF relaxed with PBEsol.

Total magnetic moment (μB/cell): 5.00
Uncorrected formation energy (eV per formula unit): -0.21
Space-group type: No. 225

a b c (Å): 5.693 5.693 5.693
angles (deg): 60.00 60.00 60.00
Each line ends with the local moment (μB).
Fractional coordinates of all 4 atoms:
Hf 0.500 0.500 0.500  1.87
Ba 0.250 0.250 0.250  0.37
Ba 0.750 0.750 0.750  0.37
F 0.000 0.000 0.000  0.08

The following is a DFT calculation (meta-GGA SCAN) of a crystal of BaHf3F relaxed with PBEsol.

Total magnetic moment (μB/cell): 0.00
Uncorrected formation energy (eV per formula unit): 10.49
Space-group type: No. 221

a b c (Å): 5.295 5.295 5.295
angles (deg): 90.00 90.00 90.00
Fractional coordinates of all 5 atoms:
Hf 0.000 0.500 0.000
Hf 0.000 0.000 0.500
Hf 0.500 0.000 0.000
Ba 0.000 0.000 0.000
F 0.500 0.500 0.500

Q: The highest total magnetic moment belongs to which entry?
A: Ba2HfF

Q: The lowest uncorrected formation energy belongs to which entry?
A: Ba2HfF

Q: Look up the total magnetic moment of the first one.
A: 5.00 μB/cell